Entry 1:
Entry from the Open Quantum Materials Database: a relaxed structure of ZrAl8Cu4 (PBE).

Structure (CIF):
```
data_ZrAl8Cu4
_chemical_formula_sum 'Zr1 Al8 Cu4'
_cell_length_a 6.651
_cell_length_b 6.651
_cell_length_c 6.651
_cell_angle_alpha 98.42
_cell_angle_beta 98.42
_cell_angle_gamma 135.01
_symmetry_space_group_name_H-M 'P 1'
_symmetry_Int_Tables_number 1
loop_
_symmetry_equiv_pos_as_xyz
'x,y,z'
loop_
_atom_site_label
_atom_site_fract_x
_atom_site_fract_y
_atom_site_fract_z
Al1 0.716 0.500 0.216
Al2 0.500 0.716 0.216
Al3 0.345 0.000 0.345
Al4 0.000 0.345 0.345
Al5 0.655 0.000 0.655
Al6 0.000 0.655 0.655
Al7 0.500 0.284 0.784
Al8 0.284 0.500 0.784
Cu1 0.500 0.000 0.000
Cu2 0.000 0.500 0.000
Cu3 0.000 0.000 0.500
Cu4 0.500 0.500 0.500
Zr1 0.000 0.000 0.000
```

Calculated values
magnetization	0.0	μB per cell
final energy	-4.358	eV/atom

***

Entry 2:
Entry from the Open Quantum Materials Database: a relaxed structure of BeInOs (PBE).

Structure (CIF):
```
data_BeInOs
_chemical_formula_sum 'Be1 In1 Os1'
_cell_length_a 4.021
_cell_length_b 4.021
_cell_length_c 4.021
_cell_angle_alpha 60.00
_cell_angle_beta 60.00
_cell_angle_gamma 60.00
_symmetry_space_group_name_H-M 'P 1'
_symmetry_Int_Tables_number 1
loop_
_symmetry_equiv_pos_as_xyz
'x,y,z'
loop_
_atom_site_label
_atom_site_fract_x
_atom_site_fract_y
_atom_site_fract_z
Be1 0.000 0.000 0.000
In1 0.250 0.250 0.250
Os1 0.750 0.750 0.750
```

Calculated values
energy above the lowest structure with this stoichiometry	0.000	eV per atom
magnetization	0.0	μB per cell

***

Entry 3:
Entry from the Open Quantum Materials Database: a relaxed structure of PrHo2Te3 (PBE).

Structure (CIF):
```
data_PrHo2Te3
_chemical_formula_sum 'Pr1 Ho2 Te3'
_cell_length_a 4.369
_cell_length_b 4.369
_cell_length_c 10.916
_cell_angle_alpha 90.00
_cell_angle_beta 90.00
_cell_angle_gamma 120.00
_symmetry_space_group_name_H-M 'P 1'
_symmetry_Int_Tables_number 1
loop_
_symmetry_equiv_pos_as_xyz
'x,y,z'
loop_
_atom_site_label
_atom_site_fract_x
_atom_site_fract_y
_atom_site_fract_z
Ho1 0.667 0.333 0.339
Ho2 0.333 0.667 0.661
Pr1 0.000 0.000 0.000
Te1 0.333 0.667 0.182
Te2 0.000 0.000 0.500
Te3 0.667 0.333 0.818
```

Calculated values
magnetization	0.0	μB per cell
final energy	-5.207	eV/atom

***

Entry 4:
Entry from the Open Quantum Materials Database: a relaxed structure of Gd2As (PBE).

Structure (CIF):
```
data_Gd2As
_chemical_formula_sum 'Gd4 As2'
_cell_length_a 6.091
_cell_length_b 6.091
_cell_length_c 6.091
_cell_angle_alpha 60.00
_cell_angle_beta 60.00
_cell_angle_gamma 60.00
_symmetry_space_group_name_H-M 'P 1'
_symmetry_Int_Tables_number 1
loop_
_symmetry_equiv_pos_as_xyz
'x,y,z'
loop_
_atom_site_label
_atom_site_fract_x
_atom_site_fract_y
_atom_site_fract_z
As1 0.000 0.000 0.000
As2 0.250 0.250 0.250
Gd1 0.625 0.625 0.125
Gd2 0.625 0.125 0.625
Gd3 0.125 0.625 0.625
Gd4 0.625 0.625 0.625
```

Calculated values
magnetization	0.0	μB per cell
final energy	-4.547	eV/atom

***

Entry 5:
Entry from the Open Quantum Materials Database: a relaxed structure of Pm2I3N (PBE).

Structure (CIF):
```
data_Pm2I3N
_chemical_formula_sum 'Pm4 I6 N2'
_cell_length_a 10.504
_cell_length_b 10.504
_cell_length_c 12.854
_cell_angle_alpha 125.81
_cell_angle_beta 125.81
_cell_angle_gamma 22.47
_symmetry_space_group_name_H-M 'P 1'
_symmetry_Int_Tables_number 1
loop_
_symmetry_equiv_pos_as_xyz
'x,y,z'
loop_
_atom_site_label
_atom_site_fract_x
_atom_site_fract_y
_atom_site_fract_z
I1 0.670 0.670 0.007
I2 0.033 0.033 0.246
I3 0.786 0.786 0.376
I4 0.214 0.214 0.624
I5 0.967 0.967 0.754
I6 0.330 0.330 0.993
N1 0.428 0.428 0.352
N2 0.572 0.572 0.648
Pm1 0.869 0.869 0.227
Pm2 0.568 0.568 0.463
Pm3 0.432 0.432 0.537
Pm4 0.131 0.131 0.773
```

Calculated values
magnetization	0.0	μB per cell
final energy	-5.210	eV/atom

***

Entry 6:
Entry from the Open Quantum Materials Database: a relaxed structure of Nd2DyAl3Cu2Pd (PBE).

Structure (CIF):
```
data_Nd2DyAl3Cu2Pd
_chemical_formula_sum 'Nd2 Dy1 Al3 Cu2 Pd1'
_cell_length_a 4.157
_cell_length_b 7.175
_cell_length_c 7.175
_cell_angle_alpha 120.94
_cell_angle_beta 90.00
_cell_angle_gamma 90.00
_symmetry_space_group_name_H-M 'P 1'
_symmetry_Int_Tables_number 1
loop_
_symmetry_equiv_pos_as_xyz
'x,y,z'
loop_
_atom_site_label
_atom_site_fract_x
_atom_site_fract_y
_atom_site_fract_z
Al1 0.500 0.236 0.236
Al2 0.500 0.995 0.764
Al3 0.500 0.764 0.995
Cu1 0.500 0.664 0.343
Cu2 0.500 0.343 0.664
Dy1 0.000 0.581 0.581
Nd1 0.000 0.422 0.002
Nd2 0.000 0.002 0.422
Pd1 0.000 0.994 0.994
```

Calculated values
magnetization	0.0	μB per cell
final energy	-4.753	eV/atom

***

Entry 7:
Entry from the Open Quantum Materials Database: a relaxed structure of KLaFeS3 (PBE).

Structure (CIF):
```
data_KLaFeS3
_chemical_formula_sum 'K4 La4 Fe4 S12'
_cell_length_a 14.575
_cell_length_b 4.099
_cell_length_c 11.304
_cell_angle_alpha 90.00
_cell_angle_beta 90.00
_cell_angle_gamma 90.00
_symmetry_space_group_name_H-M 'P 1'
_symmetry_Int_Tables_number 1
loop_
_symmetry_equiv_pos_as_xyz
'x,y,z'
loop_
_atom_site_label
_atom_site_fract_x
_atom_site_fract_y
_atom_site_fract_z
Fe1 0.510 0.250 0.083
Fe2 0.010 0.250 0.417
Fe3 0.990 0.750 0.583
Fe4 0.490 0.750 0.917
K1 0.731 0.750 0.036
K2 0.231 0.750 0.464
K3 0.769 0.250 0.536
K4 0.269 0.250 0.964
La1 0.014 0.750 0.161
La2 0.514 0.750 0.339
La3 0.486 0.250 0.661
La4 0.986 0.250 0.839
S1 0.900 0.250 0.064
S2 0.423 0.750 0.104
S3 0.622 0.250 0.223
S4 0.122 0.250 0.277
S5 0.923 0.750 0.396
S6 0.400 0.250 0.436
S7 0.600 0.750 0.564
S8 0.077 0.250 0.604
S9 0.878 0.750 0.723
S10 0.378 0.750 0.777
S11 0.577 0.250 0.896
S12 0.100 0.750 0.936
```

Calculated values
energy above the lowest structure with this stoichiometry	0.000	eV per atom
magnetization	16.0	μB per cell

***

Entry 8:
Entry from the Open Quantum Materials Database: a relaxed structure of PmDyS2I2 (PBE).

Structure (CIF):
```
data_PmDyS2I2
_chemical_formula_sum 'Pm1 Dy1 S2 I2'
_cell_length_a 4.755
_cell_length_b 4.755
_cell_length_c 7.622
_cell_angle_alpha 90.00
_cell_angle_beta 90.00
_cell_angle_gamma 90.00
_symmetry_space_group_name_H-M 'P 1'
_symmetry_Int_Tables_number 1
loop_
_symmetry_equiv_pos_as_xyz
'x,y,z'
loop_
_atom_site_label
_atom_site_fract_x
_atom_site_fract_y
_atom_site_fract_z
Dy1 0.000 0.000 0.181
I1 0.500 0.500 0.381
I2 0.000 0.000 0.615
Pm1 0.500 0.500 0.813
S1 0.500 0.000 0.005
S2 0.000 0.500 0.005
```

Calculated values
magnetization	0.0	μB per cell
final energy	-5.133	eV/atom